Entry 1:
A geometry-optimized Cd4Hg5Sb structure, computed with PBE-GGA.

a b c (Å): 8.5580 8.5580 7.5883
angles (deg): 109.55 109.55 31.13
Atoms (fractional coordinates):
Cd 0.0373 0.0373 0.2686
Cd 0.3209 0.3209 0.0125
Cd 0.6791 0.6791 0.9875
Cd 0.9627 0.9627 0.7314
Hg 0.1453 0.1453 0.6902
Hg 0.2246 0.2246 0.3278
Hg 0.5000 0.5000 0.5000
Hg 0.7754 0.7754 0.6722
Hg 0.8547 0.8547 0.3098
Sb 0.5000 0.5000 0.0000

**Total moment**: 0.0 Bohr magnetons per cell
**Total DFT energy (no corrections)**: -0.89 eV per atom
**Crystal system**: monoclinic
**E_form (uncorrected)**: 37 meV per atom
**SG**: C2/m (12)

---

Entry 2:
A geometry-optimized Cd2HgSb structure, computed with PBE-GGA.

a b c (Å): 5.9442 5.9442 5.9442
angles (deg): 136.15 136.15 63.75
Atoms (fractional coordinates):
Cd 0.0000 0.0000 0.0000
Cd 0.7500 0.2500 0.5000
Hg 0.2500 0.7500 0.5000
Sb 0.5000 0.5000 0.0000

**Total moment**: 0.0 Bohr magnetons per cell
**Total DFT energy (no corrections)**: -1.47 eV per atom
**Crystal system**: tetragonal
**E_form (uncorrected)**: 91 meV per atom
**SG**: I-4m2 (119)

---

Entry 3:
A geometry-optimized CdHgSb2 structure, computed with PBE-GGA.

a b c (Å): 5.2827 5.2827 5.2827
angles (deg): 60.00 60.00 60.00
Atoms (fractional coordinates):
Cd 0.0000 0.0000 0.0000
Hg 0.5000 0.5000 0.5000
Sb 0.2500 0.2500 0.2500
Sb 0.7500 0.7500 0.7500

**Total moment**: 0.0 Bohr magnetons per cell
**Total DFT energy (no corrections)**: -2.13 eV per atom
**Crystal system**: cubic
**E_form (uncorrected)**: 236 meV per atom
**SG**: Fm-3m (225)

---

Entry 4:
A geometry-optimized Cd3Hg12Sb5 structure, computed with PBE-GGA.

a b c (Å): 14.7520 14.7520 14.7520
angles (deg): 109.47 109.47 109.47
Atoms (fractional coordinates):
Cd 0.1250 0.2500 0.3750
Cd 0.1250 0.3750 0.7500
Cd 0.2500 0.3750 0.1250
Cd 0.2500 0.8750 0.6250
Cd 0.3750 0.1250 0.2500
Cd 0.3750 0.7500 0.1250
Cd 0.6250 0.2500 0.8750
Cd 0.6250 0.8750 0.7500
Cd 0.7500 0.1250 0.3750
Cd 0.7500 0.6250 0.8750
Cd 0.8750 0.6250 0.2500
Cd 0.8750 0.7500 0.6250
Hg 0.0575 0.2343 0.1188
Hg 0.0575 0.3232 0.9387
Hg 0.0613 0.6188 0.3845
Hg 0.0613 0.9425 0.6768
Hg 0.1155 0.7343 0.6768
Hg 0.1155 0.8812 0.4387
Hg 0.1188 0.0575 0.2343
Hg 0.1188 0.5613 0.8845
Hg 0.1768 0.2343 0.6155
Hg 0.1768 0.4425 0.5613
Hg 0.2343 0.1188 0.0575
Hg 0.2343 0.6155 0.1768
Hg 0.2657 0.3232 0.8845
Hg 0.2657 0.4425 0.3812
Hg 0.3232 0.8845 0.2657
Hg 0.3232 0.9387 0.0575
Hg 0.3812 0.2657 0.4425
Hg 0.3812 0.6155 0.9387
Hg 0.3845 0.0613 0.6188
Hg 0.3845 0.8232 0.7657
Hg 0.4387 0.1155 0.8812
Hg 0.4387 0.8232 0.5575
Hg 0.4425 0.3812 0.2657
Hg 0.4425 0.5613 0.1768
Hg 0.5575 0.4387 0.8232
Hg 0.5575 0.6188 0.7343
Hg 0.5613 0.1768 0.4425
Hg 0.5613 0.8845 0.1188
Hg 0.6155 0.1768 0.2343
Hg 0.6155 0.9387 0.3812
Hg 0.6188 0.3845 0.0613
Hg 0.6188 0.7343 0.5575
Hg 0.6768 0.0613 0.9425
Hg 0.6768 0.1155 0.7343
Hg 0.7343 0.5575 0.6188
Hg 0.7343 0.6768 0.1155
Hg 0.7657 0.3845 0.8232
Hg 0.7657 0.8812 0.9425
Hg 0.8232 0.5575 0.4387
Hg 0.8232 0.7657 0.3845
Hg 0.8812 0.4387 0.1155
Hg 0.8812 0.9425 0.7657
Hg 0.8845 0.1188 0.5613
Hg 0.8845 0.2657 0.3232
Hg 0.9387 0.0575 0.3232
Hg 0.9387 0.3812 0.6155
Hg 0.9425 0.6768 0.0613
Hg 0.9425 0.7657 0.8812
Sb 0.0000 0.0000 0.0000
Sb 0.0000 0.0000 0.5000
Sb 0.0000 0.5000 0.0000
Sb 0.0000 0.5000 0.5000
Sb 0.1250 0.7500 0.8750
Sb 0.1250 0.8750 0.2500
Sb 0.2500 0.1250 0.8750
Sb 0.2500 0.6250 0.3750
Sb 0.3750 0.2500 0.6250
Sb 0.3750 0.6250 0.7500
Sb 0.5000 0.0000 0.0000
Sb 0.5000 0.0000 0.5000
Sb 0.5000 0.5000 0.0000
Sb 0.5000 0.5000 0.5000
Sb 0.6250 0.3750 0.2500
Sb 0.6250 0.7500 0.3750
Sb 0.7500 0.3750 0.6250
Sb 0.7500 0.8750 0.1250
Sb 0.8750 0.1250 0.7500
Sb 0.8750 0.2500 0.1250

**Total moment**: 0.0 Bohr magnetons per cell
**Total DFT energy (no corrections)**: -1.22 eV per atom
**Crystal system**: cubic
**E_form (uncorrected)**: 131 meV per atom
**SG**: Ia-3d (230)

---

Entry 5:
A geometry-optimized CdHgSb structure, computed with PBE-GGA.

a b c (Å): 5.7467 5.7467 5.7467
angles (deg): 146.16 133.26 58.94
Atoms (fractional coordinates):
Cd 0.0000 0.0000 0.0000
Hg 0.6604 0.6604 0.0000
Sb 0.3348 0.3348 0.0000

**Total moment**: 0.0 Bohr magnetons per cell
**Total DFT energy (no corrections)**: -1.66 eV per atom
**Crystal system**: orthorhombic
**E_form (uncorrected)**: 117 meV per atom
**SG**: Imm2 (44)

---

Entry 6:
A geometry-optimized Cd12Hg5Sb2 structure, computed with PBE-GGA.

a b c (Å): 8.4087 8.4087 9.6952
angles (deg): 123.53 123.53 65.13
Atoms (fractional coordinates):
Cd 0.0439 0.5575 0.9008
Cd 0.0953 0.0953 0.8157
Cd 0.1572 0.6611 0.7177
Cd 0.3389 0.8428 0.2823
Cd 0.3941 0.3941 0.1935
Cd 0.4425 0.9561 0.0992
Cd 0.5575 0.0439 0.9008
Cd 0.6059 0.6059 0.8065
Cd 0.6611 0.1572 0.7177
Cd 0.8428 0.3389 0.2823
Cd 0.9047 0.9047 0.1843
Cd 0.9561 0.4425 0.0992
Hg 0.1982 0.1982 0.6171
Hg 0.2704 0.2704 0.3809
Hg 0.5000 0.5000 0.0000
Hg 0.7296 0.7296 0.6191
Hg 0.8018 0.8018 0.3829
Sb 0.2646 0.7354 0.5000
Sb 0.7354 0.2646 0.5000

**Total moment**: 0.0 Bohr magnetons per cell
**Total DFT energy (no corrections)**: -1.04 eV per atom
**Crystal system**: monoclinic
**E_form (uncorrected)**: 51 meV per atom
**SG**: C2/m (12)

---

Entry 7:
A geometry-optimized Cd8Hg3Sb structure, computed with PBE-GGA.

a b c (Å): 6.8255 6.8255 8.4244
angles (deg): 114.29 114.29 89.10
Atoms (fractional coordinates):
Cd 0.0000 0.0000 0.0000
Cd 0.0036 0.5177 0.0046
Cd 0.2606 0.7440 0.4881
Cd 0.2632 0.2632 0.4930
Cd 0.5155 0.5155 0.0001
Cd 0.5177 0.0036 0.0046
Cd 0.7440 0.2606 0.4881
Cd 0.7455 0.7455 0.4930
Hg 0.3816 0.8816 0.2465
Hg 0.6316 0.6316 0.7478
Hg 0.8816 0.3816 0.2465
Sb 0.1303 0.1303 0.7451

**Total moment**: 0.0 Bohr magnetons per cell
**Total DFT energy (no corrections)**: -1.00 eV per atom
**Crystal system**: monoclinic
**E_form (uncorrected)**: 27 meV per atom
**SG**: Cm (8)

---

Entry 8:
A geometry-optimized CdHgSb2 structure, computed with PBE-GGA.

a b c (Å): 3.3815 3.3815 9.6539
angles (deg): 90.00 90.00 106.50
Atoms (fractional coordinates):
Cd 0.0000 0.0000 0.0000
Hg 0.0000 0.0000 0.5000
Sb 0.5000 0.5000 0.2389
Sb 0.5000 0.5000 0.7611

**Total moment**: 0.0 Bohr magnetons per cell
**Total DFT energy (no corrections)**: -2.21 eV per atom
**Crystal system**: orthorhombic
**E_form (uncorrected)**: 151 meV per atom
**SG**: Cmmm (65)

---

Entry 9:
A geometry-optimized Cd2HgSb structure, computed with PBE-GGA.

a b c (Å): 5.2353 5.2353 5.2353
angles (deg): 60.00 60.00 60.00
Atoms (fractional coordinates):
Cd 0.0000 0.0000 0.0000
Cd 0.2500 0.2500 0.2500
Hg 0.7500 0.7500 0.7500
Sb 0.5000 0.5000 0.5000

**Total moment**: 0.0 Bohr magnetons per cell
**Total DFT energy (no corrections)**: -1.41 eV per atom
**Crystal system**: cubic
**E_form (uncorrected)**: 157 meV per atom
**SG**: F-43m (216)

---

Entry 10:
A geometry-optimized CdHgSb2 structure, computed with PBE-GGA.

a b c (Å): 10.7778 10.7778 10.7778
angles (deg): 18.04 18.04 18.04
Atoms (fractional coordinates):
Cd 0.0000 0.0000 0.0000
Hg 0.7454 0.7454 0.7454
Sb 0.2495 0.2495 0.2495
Sb 0.4971 0.4971 0.4971

**Total moment**: 0.0 Bohr magnetons per cell
**Total DFT energy (no corrections)**: -2.19 eV per atom
**Crystal system**: trigonal
**E_form (uncorrected)**: 174 meV per atom
**SG**: R3m (160)

---

Entry 11:
A geometry-optimized Cd5Hg6Sb structure, computed with PBE-GGA.

a b c (Å): 6.1035 6.1035 9.5694
angles (deg): 96.33 96.33 121.51
Atoms (fractional coordinates):
Cd 0.0000 0.0000 0.0000
Cd 0.1702 0.8298 0.5000
Cd 0.3429 0.6571 0.0000
Cd 0.6571 0.3429 0.0000
Cd 0.8298 0.1702 0.5000
Hg 0.0710 0.4130 0.2424
Hg 0.2413 0.2413 0.7497
Hg 0.4130 0.0710 0.2424
Hg 0.5870 0.9290 0.7576
Hg 0.7587 0.7587 0.2503
Hg 0.9290 0.5870 0.7576
Sb 0.5000 0.5000 0.5000

**Total moment**: 0.0 Bohr magnetons per cell
**Total DFT energy (no corrections)**: -0.83 eV per atom
**Crystal system**: monoclinic
**E_form (uncorrected)**: 42 meV per atom
**SG**: C2/m (12)